#1
First-principles (PBE) data for crystalline SmTmIn4 at its relaxed geometry, as listed in Alexandria via LeMat-Bulk.

The structure in POSCAR format:
```
SmTmIn4
1.0
0.000 4.249 4.249
4.249 0.000 4.249
4.249 4.249 0.000
Sm Tm In
1 1 4
Cartesian
0.000 0.000 0.000
2.124 2.124 2.124
5.310 3.187 3.187
3.187 5.310 3.187
3.187 3.187 5.310
5.310 5.310 5.310
```

Calculated values
SG: F-43m, No. 216
Size of the total moment, μB/f.u.: 0.0

---

#2
First-principles (PBE) data for crystalline SmTmIn4 at its relaxed geometry, as listed in Alexandria via LeMat-Bulk.

The structure in POSCAR format:
```
SmTmIn4
1.0
10.458 0.000 0.000
0.000 18.086 0.000
0.000 0.000 3.436
Sm Tm In
4 4 16
Cartesian
0.819 2.424 0.000
4.410 11.466 0.000
6.048 6.619 0.000
9.639 15.662 0.000
1.228 7.720 0.000
4.001 16.763 0.000
6.457 1.323 0.000
9.230 10.365 0.000
0.219 5.206 1.718
1.371 17.584 1.718
1.614 10.529 1.718
2.088 14.642 1.718
3.141 5.599 1.718
3.615 1.486 1.718
3.858 8.541 1.718
5.010 14.249 1.718
5.448 3.837 1.718
6.600 9.545 1.718
6.843 16.600 1.718
7.317 12.487 1.718
8.370 3.444 1.718
8.845 7.557 1.718
9.088 0.502 1.718
10.239 12.880 1.718
```

Calculated values
SG: Pbam, No. 55
Size of the total moment, μB/f.u.: 0.0

---

Short version: #1 is the most stable of them.

---

#1
First-principles (PBE) data for crystalline Sm6TmIn3 at its relaxed geometry, as listed in Alexandria via LeMat-Bulk.

The structure in POSCAR format:
```
Sm6TmIn3
1.0
10.465 0.000 0.000
0.000 5.148 0.000
-1.237 0.000 11.208
Sm Tm In
12 2 6
Cartesian
-0.024 1.287 4.518
1.180 3.861 2.118
1.173 1.287 11.040
2.441 3.861 8.765
3.377 1.287 3.168
3.798 1.287 6.620
5.429 3.861 4.588
5.850 3.861 8.041
6.786 1.287 2.443
8.055 3.861 0.168
8.048 1.287 9.090
9.252 3.861 6.690
4.615 3.861 1.052
4.613 1.287 10.156
-0.606 3.861 9.977
0.628 1.287 7.764
2.064 3.861 5.321
7.164 1.287 5.887
8.599 3.861 3.444
9.834 1.287 1.231
```

Calculated values
SG: P2_1/m, No. 11
Size of the total moment, μB/f.u.: 0.0

---

#2
First-principles (PBE) data for crystalline Sm6TmIn3 at its relaxed geometry, as listed in Alexandria via LeMat-Bulk.

The structure in POSCAR format:
```
Sm6TmIn3
1.0
5.280 -7.845 0.000
5.280 7.845 0.000
0.000 0.000 7.779
Sm Tm In
12 2 6
Cartesian
5.280 7.150 3.890
2.844 2.909 7.764
2.744 0.520 5.333
2.744 -0.520 1.443
5.280 3.036 4.987
2.844 -2.909 3.875
7.717 2.909 7.764
5.280 -3.036 1.097
7.817 0.520 5.333
7.817 -0.520 1.443
7.717 -2.909 3.875
5.280 -7.150 0.000
5.280 4.762 1.608
5.280 -4.762 5.498
1.510 2.158 2.783
1.510 -2.158 6.672
5.280 0.713 7.463
5.280 -0.713 3.574
9.051 2.158 2.783
9.051 -2.158 6.672
```

Calculated values
SG: Cmc2_1, No. 36
Size of the total moment, μB/f.u.: 0.0

---

Short version: #1 is the most stable of them.

---

#1
First-principles (PBE) data for crystalline Sm3Tm2In2 at its relaxed geometry, as listed in Alexandria via LeMat-Bulk.

The structure in POSCAR format:
```
Sm3Tm2In2
1.0
2.498 -11.743 0.000
2.498 11.743 0.000
0.000 0.000 3.509
Sm Tm In
3 2 2
Cartesian
0.000 0.000 0.000
2.498 8.344 0.000
2.498 -8.344 0.000
2.498 5.005 1.755
2.498 -5.005 1.755
2.498 1.676 1.755
2.498 -1.676 1.755
```

Calculated values
SG: Cmmm, No. 65
Size of the total moment, μB/f.u.: 0.4

---

#2
First-principles (PBE) data for crystalline Sm3Tm2In2 at its relaxed geometry, as listed in Alexandria via LeMat-Bulk.

The structure in POSCAR format:
```
Sm3Tm2In2
1.0
6.600 -1.868 0.000
6.600 1.868 0.000
-1.455 0.000 8.443
Sm Tm In
3 2 2
Cartesian
0.000 0.000 0.000
2.208 0.000 7.044
9.538 0.000 1.399
1.152 0.000 3.739
10.593 0.000 4.704
5.474 0.000 2.428
6.272 0.000 6.015
```

Calculated values
SG: C2/m, No. 12
Size of the total moment, μB/f.u.: 0.0

---

Short version: #2 is the most stable of them.

---

#1
First-principles (PBE) data for crystalline Sm4TmIn2 at its relaxed geometry, as listed in Alexandria via LeMat-Bulk.

The structure in POSCAR format:
```
Sm4TmIn2
1.0
2.918 -5.727 0.000
2.918 5.727 0.000
0.000 0.000 6.386
Sm Tm In
4 1 2
Cartesian
1.459 2.864 3.193
2.918 4.103 0.000
1.459 -2.864 3.193
2.918 -4.103 0.000
0.000 0.000 3.193
2.918 0.000 1.551
2.918 0.000 4.836
```

Calculated values
SG: Cmmm, No. 65
Size of the total moment, μB/f.u.: 0.0

---

#2
First-principles (PBE) data for crystalline Sm4TmIn2 at its relaxed geometry, as listed in Alexandria via LeMat-Bulk.

The structure in POSCAR format:
```
Sm4TmIn2
1.0
6.238 0.000 0.000
1.824 7.681 0.000
2.128 -0.269 8.886
Sm Tm In
8 2 4
Cartesian
0.000 0.000 0.000
1.533 4.498 1.389
3.985 5.651 3.627
3.659 2.276 4.981
4.836 1.842 8.069
4.931 6.094 0.074
6.849 4.068 4.932
6.900 0.387 5.760
1.780 1.189 2.524
4.887 2.734 1.895
3.653 4.918 6.884
5.703 6.987 6.092
6.836 7.260 3.038
7.933 2.787 7.776
```

Calculated values
SG: P1, No. 1
Size of the total moment, μB/f.u.: 0.0

---

Short version: #2 is the most stable of them.

---

#1
First-principles (PBE) data for crystalline Sm3TmIn4 at its relaxed geometry, as listed in Alexandria via LeMat-Bulk.

The structure in POSCAR format:
```
Sm3TmIn4
1.0
-1.751 3.467 9.755
1.751 -3.467 9.755
1.751 3.467 -9.755
Sm Tm In
3 1 4
Cartesian
0.000 0.000 0.000
1.751 0.000 5.367
0.000 3.467 4.388
0.000 0.000 9.755
1.751 1.541 -2.438
1.751 1.541 2.438
0.000 1.926 7.317
0.000 1.926 12.193
```

Calculated values
SG: Immm, No. 71
Size of the total moment, μB/f.u.: 0.0

---

#2
First-principles (PBE) data for crystalline Sm3TmIn4 at its relaxed geometry, as listed in Alexandria via LeMat-Bulk.

The structure in POSCAR format:
```
Sm3TmIn4
1.0
3.781 0.000 0.000
0.000 3.781 0.000
0.000 0.000 15.398
Sm Tm In
3 1 4
Cartesian
0.000 0.000 0.000
0.000 0.000 3.937
0.000 0.000 11.461
0.000 0.000 7.699
1.890 1.890 1.969
1.890 1.890 5.911
1.890 1.890 9.486
1.890 1.890 13.429
```

Calculated values
SG: P4/mmm, No. 123
Size of the total moment, μB/f.u.: 0.0

---

Short version: #2 is the most stable of them.

---

#1
First-principles (PBE) data for crystalline Sm3YIn4 at its relaxed geometry, as listed in Alexandria via LeMat-Bulk.

The structure in POSCAR format:
```
Sm3YIn4
1.0
3.811 0.000 0.000
0.000 3.811 0.000
0.000 0.000 15.304
Sm Y In
3 1 4
Cartesian
0.000 0.000 0.000
0.000 0.000 3.873
0.000 0.000 11.431
0.000 0.000 7.652
1.905 1.905 1.936
1.905 1.905 5.819
1.905 1.905 9.486
1.905 1.905 13.368
```

Calculated values
SG: P4/mmm, No. 123
Size of the total moment, μB/f.u.: 0.0

---

#2
First-principles (PBE) data for crystalline Sm3YIn4 at its relaxed geometry, as listed in Alexandria via LeMat-Bulk.

The structure in POSCAR format:
```
Sm3YIn4
1.0
-1.787 3.561 9.461
1.787 -3.561 9.461
1.787 3.561 -9.461
Sm Y In
3 1 4
Cartesian
0.000 0.000 0.000
1.787 0.000 5.307
0.000 3.561 4.154
0.000 0.000 9.461
1.787 1.515 -2.379
1.787 1.515 2.379
0.000 2.047 7.081
0.000 2.047 11.840
```

Calculated values
SG: Immm, No. 71
Size of the total moment, μB/f.u.: 0.4

---

Short version: #1 is the most stable of them.